Ho8Tm5Zr | PBE | relaxed

```
data_Ho8Tm5Zr
_cell_length_a 14.965
_cell_length_b 8.052
_cell_length_c 8.325
_cell_angle_alpha 90.00
_cell_angle_beta 119.45
_cell_angle_gamma 90.00
_symmetry_space_group_name_H-M 'C 1 2 1'
_symmetry_Int_Tables_number 5
loop_
_symmetry_equiv_pos_as_xyz
'x,y,z'
'-x,y,-z'
'x+1/2,y+1/2,z'
'-x+1/2,y+1/2,-z'
loop_
_atom_site_label
_atom_site_type_symbol
_atom_site_fract_x
_atom_site_fract_y
_atom_site_fract_z
Ho1 Ho 0.123 0.000 0.185
Ho2 Ho 0.181 0.408 0.223
Ho3 Ho 0.183 0.232 0.566
Ho4 Ho 0.184 0.713 0.931
Tm1 Tm 0.000 0.969 0.500
Tm2 Tm 0.050 0.320 0.786
Tm3 Tm 0.109 0.632 0.471
Zr1 Zr 0.000 0.641 0.000
```

Summary:
* total DFT energy (no corrections): -4.6166 eV per atom
* total moment: 0.00 Bohr magnetons per cell
* calculated formation energy: 207 meV per atom
* Fermi-level density of states: 40.1 states/eV per cell

***

HoTm3Zr | PBE | relaxed

```
data_HoTm3Zr
_cell_length_a 3.420
_cell_length_b 9.091
_cell_length_c 9.725
_cell_angle_alpha 74.37
_cell_angle_beta 89.96
_cell_angle_gamma 79.18
_symmetry_space_group_name_H-M 'P -1'
_symmetry_Int_Tables_number 2
loop_
_symmetry_equiv_pos_as_xyz
'x,y,z'
'-x,-y,-z'
loop_
_atom_site_label
_atom_site_type_symbol
_atom_site_fract_x
_atom_site_fract_y
_atom_site_fract_z
Ho1 Ho 0.103 0.293 0.059
Tm1 Tm 0.107 0.287 0.546
Tm2 Tm 0.296 0.907 0.158
Tm3 Tm 0.497 0.505 0.749
Zr1 Zr 0.296 0.908 0.638
```

Summary:
* total DFT energy (no corrections): -5.2515 eV per atom
* energy above the lowest structure with this stoichiometry: 0.0 meV per atom
* total moment: 0.00 Bohr magnetons per cell
* calculated formation energy: 57 meV per atom
* Fermi-level density of states: 13.1 states/eV per cell

***

Ho5TmZr | PBE | relaxed

```
data_Ho5TmZr
_cell_length_a 10.112
_cell_length_b 6.581
_cell_length_c 12.788
_cell_angle_alpha 90.00
_cell_angle_beta 97.06
_cell_angle_gamma 90.00
_symmetry_space_group_name_H-M 'C 1 2/c 1'
_symmetry_Int_Tables_number 15
loop_
_symmetry_equiv_pos_as_xyz
'x,y,z'
'-x,-y,-z'
'-x,y,-z+1/2'
'x,-y,z+1/2'
'x+1/2,y+1/2,z'
'-x+1/2,-y+1/2,-z'
'-x+1/2,y+1/2,-z+1/2'
'x+1/2,-y+1/2,z+1/2'
loop_
_atom_site_label
_atom_site_type_symbol
_atom_site_fract_x
_atom_site_fract_y
_atom_site_fract_z
Ho1 Ho 0.000 0.204 0.250
Ho2 Ho 0.168 0.471 0.084
Ho3 Ho 0.246 0.470 0.350
Tm1 Tm 0.000 0.254 0.750
Zr1 Zr 0.000 0.000 0.000
```

Summary:
* total DFT energy (no corrections): -4.8782 eV per atom
* total moment: 0.00 Bohr magnetons per cell
* calculated formation energy: 252 meV per atom
* Fermi-level density of states: 39.2 states/eV per cell

***

Ho15Tm4Zr | PBE | relaxed

```
data_Ho15Tm4Zr
_cell_length_a 4.954
_cell_length_b 4.954
_cell_length_c 24.664
_cell_angle_alpha 90.00
_cell_angle_beta 90.00
_cell_angle_gamma 90.00
_symmetry_space_group_name_H-M 'P 4/m m m'
_symmetry_Int_Tables_number 123
_symmetry_space_group_name_Hall '-P 4 2'
loop_
_atom_site_label
_atom_site_type_symbol
_atom_site_fract_x
_atom_site_fract_y
_atom_site_fract_z
Ho1 Ho 0.000 0.000 0.000
Ho2 Ho 0.000 0.000 0.198
Ho3 Ho 0.000 0.000 0.399
Ho4 Ho 0.000 0.500 0.095
Ho5 Ho 0.000 0.500 0.298
Ho6 Ho 0.000 0.500 0.500
Tm1 Tm 0.500 0.500 0.198
Tm2 Tm 0.500 0.500 0.399
Zr1 Zr 0.500 0.500 0.000
```

Summary:
* total DFT energy (no corrections): -4.7216 eV per atom
* total moment: 0.00 Bohr magnetons per cell
* calculated formation energy: 33 meV per atom
* Fermi-level density of states: 26.0 states/eV per cell

***

Ho3TmZr | PBE | relaxed

```
data_Ho3TmZr
_cell_length_a 6.095
_cell_length_b 6.539
_cell_length_c 8.109
_cell_angle_alpha 102.43
_cell_angle_beta 111.72
_cell_angle_gamma 90.12
_symmetry_space_group_name_H-M 'P -1'
_symmetry_Int_Tables_number 2
loop_
_symmetry_equiv_pos_as_xyz
'x,y,z'
'-x,-y,-z'
loop_
_atom_site_label
_atom_site_type_symbol
_atom_site_fract_x
_atom_site_fract_y
_atom_site_fract_z
Ho1 Ho 0.093 0.241 0.499
Ho2 Ho 0.292 0.669 0.902
Ho3 Ho 0.322 0.563 0.303
Tm1 Tm 0.121 0.151 0.905
Zr1 Zr 0.481 0.052 0.311
```

Summary:
* total DFT energy (no corrections): -5.3082 eV per atom
* energy above the lowest structure with this stoichiometry: 0.0 meV per atom
* total moment: 0.00 Bohr magnetons per cell
* calculated formation energy: 42 meV per atom
* Fermi-level density of states: 16.7 states/eV per cell

***

Ho3Tm2Zr2 | PBE | relaxed

```
data_Ho3Tm2Zr2
_cell_length_a 5.152
_cell_length_b 22.869
_cell_length_c 3.388
_cell_angle_alpha 90.00
_cell_angle_beta 90.00
_cell_angle_gamma 90.00
_symmetry_space_group_name_H-M 'C m m m'
_symmetry_Int_Tables_number 65
_symmetry_space_group_name_Hall '-C 2 2'
loop_
_atom_site_label
_atom_site_type_symbol
_atom_site_fract_x
_atom_site_fract_y
_atom_site_fract_z
Ho1 Ho 0.000 0.000 0.000
Ho2 Ho 0.000 0.156 0.000
Tm1 Tm 0.000 0.424 0.500
Zr1 Zr 0.000 0.280 0.500
```

Summary:
* total DFT energy (no corrections): -5.6313 eV per atom
* total moment: 0.00 Bohr magnetons per cell
* calculated formation energy: 51 meV per atom
* Fermi-level density of states: 21.0 states/eV per cell

***

Ho4Tm4Zr | PBE | relaxed

```
data_Ho4Tm4Zr
_cell_length_a 10.431
_cell_length_b 10.431
_cell_length_c 4.873
_cell_angle_alpha 90.00
_cell_angle_beta 90.00
_cell_angle_gamma 90.00
_symmetry_space_group_name_H-M 'I 4/m m m'
_symmetry_Int_Tables_number 139
_symmetry_space_group_name_Hall '-I 4 2'
loop_
_atom_site_label
_atom_site_type_symbol
_atom_site_fract_x
_atom_site_fract_y
_atom_site_fract_z
Ho1 Ho 0.161 0.161 0.000
Tm1 Tm 0.000 0.328 0.500
Zr1 Zr 0.000 0.000 0.500
```

Summary:
* total DFT energy (no corrections): -4.9273 eV per atom
* total moment: 0.00 Bohr magnetons per cell
* calculated formation energy: 44 meV per atom
* Fermi-level density of states: 23.0 states/eV per cell

***

HoTmZr2 | PBE | relaxed

```
data_HoTmZr2
_cell_length_a 3.3199
_cell_length_b 3.3199
_cell_length_c 32.8264
_cell_angle_alpha 90.00
_cell_angle_beta 90.00
_cell_angle_gamma 120.00
_symmetry_space_group_name_H-M 'R -3 m'
_symmetry_Int_Tables_number 166
_symmetry_space_group_name_Hall '-R 3 2"'
loop_
_atom_site_label
_atom_site_type_symbol
_atom_site_fract_x
_atom_site_fract_y
_atom_site_fract_z
Ho1 Ho 0.0000 0.0000 0.0000
Tm1 Tm 0.0000 0.0000 0.5000
Zr1 Zr 0.0000 0.0000 0.2497
```

Summary:
* total DFT energy (no corrections): -6.4312 eV per atom
* energy above the lowest structure with this stoichiometry: 37.1 meV per atom
* total moment: 0.00 Bohr magnetons per cell
* calculated formation energy: 105 meV per atom
* Fermi-level density of states: 17.1 states/eV per cell

***

Ho4Tm3Zr | PBE | relaxed

```
data_Ho4Tm3Zr
_cell_length_a 10.983
_cell_length_b 7.094
_cell_length_c 6.116
_cell_angle_alpha 90.00
_cell_angle_beta 90.00
_cell_angle_gamma 90.00
_symmetry_space_group_name_H-M 'P m n 21'
_symmetry_Int_Tables_number 31
loop_
_symmetry_equiv_pos_as_xyz
'x,y,z'
'-x+1/2,-y,z+1/2'
'-x,y,z'
'x+1/2,-y,z+1/2'
loop_
_atom_site_label
_atom_site_type_symbol
_atom_site_fract_x
_atom_site_fract_y
_atom_site_fract_z
Ho1 Ho 0.000 0.128 0.000
Ho2 Ho 0.000 0.868 0.497
Ho3 Ho 0.245 0.870 0.840
Tm1 Tm 0.000 0.384 0.500
Tm2 Tm 0.248 0.379 0.830
Zr1 Zr 0.000 0.623 0.004
```

Summary:
* total DFT energy (no corrections): -5.0035 eV per atom
* energy above the lowest structure with this stoichiometry: 0.0 meV per atom
* total moment: 0.00 Bohr magnetons per cell
* calculated formation energy: 31 meV per atom
* Fermi-level density of states: 27.5 states/eV per cell

***

Ho2Tm8Zr | PBE | relaxed

```
data_Ho2Tm8Zr
_cell_length_a 16.464
_cell_length_b 6.375
_cell_length_c 6.492
_cell_angle_alpha 90.00
_cell_angle_beta 102.43
_cell_angle_gamma 90.00
_symmetry_space_group_name_H-M 'C 1 2/m 1'
_symmetry_Int_Tables_number 12
loop_
_symmetry_equiv_pos_as_xyz
'x,y,z'
'-x,-y,-z'
'-x,y,-z'
'x,-y,z'
'x+1/2,y+1/2,z'
'-x+1/2,-y+1/2,-z'
'-x+1/2,y+1/2,-z'
'x+1/2,-y+1/2,z'
loop_
_atom_site_label
_atom_site_type_symbol
_atom_site_fract_x
_atom_site_fract_y
_atom_site_fract_z
Ho1 Ho 0.186 0.000 0.325
Tm1 Tm 0.080 0.256 0.891
Tm2 Tm 0.092 0.500 0.414
Tm3 Tm 0.246 0.000 0.840
Zr1 Zr 0.000 0.000 0.500
```

Summary:
* total DFT energy (no corrections): -4.6518 eV per atom
* energy above the lowest structure with this stoichiometry: 169.3 meV per atom
* total moment: 0.00 Bohr magnetons per cell
* calculated formation energy: 210 meV per atom
* Fermi-level density of states: 36.2 states/eV per cell